# 1
Material: CdTcO3
Method: DFT, GGA-PBE
State: optimized geometry

Results
- energy (eV per formula unit) = -30.36

Cell lengths 5.7855, 5.7855, 14.0071 Å; angles 90.00, 90.00, 120.00 degrees
With the nearest neighbours (Å) after each atom.
Space group R-3c (No. 167, hexagonal axes)
Symmetry-distinct sites (fractional):
Cd  0.0000  0.0000  0.0000 x6  6 O 2.29
Tc  0.0000  0.0000  0.2500 x6  3 O 1.84
O  0.0000  0.3189  0.2500 x18  1 Tc 1.84

---

# 2
Material: YEr4Tm2Te2Pd2
Method: DFT, GGA-PBE
State: optimized geometry

Results
- energy (eV per formula unit) = -59.78

Cell lengths 3.9128, 15.6232, 9.5423 Å; angles 90.00, 90.00, 90.00 degrees
With the nearest neighbours (Å) after each atom.
Space group Imm2 (No. 44)
Symmetry-distinct sites (fractional):
Y  0.0000  0.0000  0.0000 x2  3 Te 3.19-3.22
Er  0.0000  0.1290  0.4159 x4  2 Pd 2.86, 3 Te 3.10-3.16
Er  0.0000  0.3554  0.2638 x4  2 Pd 2.90, 2 Te 3.14
Tm  0.0000  0.3170  0.6243 x4  3 Pd 2.83-3.16, 1 Te 3.16
Te  0.0000  0.0000  0.6625 x2  6 Er 3.10-3.14, 1 Y 3.22
Te  0.0000  0.5000  0.7642 x2  2 Tm 3.16, 4 Er 3.16, 2 Y 3.19
Pd  0.0000  0.2377  0.9292 x4  3 Tm 2.83-3.16, 4 Er 2.86-2.90

---

# 3
Material: Nd3GaNi3
Method: DFT, GGA-PBE
State: optimized geometry

Results
- energy (eV per formula unit) = -37.08

Cell lengths 4.1662, 10.3361, 13.4204 Å; angles 90.00, 90.00, 90.00 degrees
With the nearest neighbours (Å) after each atom.
Space group Cmcm (No. 63)
Symmetry-distinct sites (fractional):
Nd  0.0000  0.0019  0.2500 x4  7 Ni 2.94-3.10
Nd  0.0000  0.2839  0.1037 x8  6 Ni 2.97-3.02, 1 Ga 3.25
Ga  0.0000  0.0000  0.0000 x4  4 Ni 2.51
Ni  0.0000  0.2975  0.7500 x4  2 Ni 2.55
Ni  0.0000  0.4269  0.5884 x8  2 Ga 2.51, 2 Ni 2.55-2.81

---

# 4
Material: BeCu5As2
Method: DFT, GGA-PBE
State: optimized geometry

Results
- energy (eV per formula unit) = -30.19

Cell lengths 3.9747, 3.9747, 6.4290 Å; angles 90.00, 90.00, 90.00 degrees
With the nearest neighbours (Å) after each atom.
Space group P4/mmm (No. 123)
Symmetry-distinct sites (fractional):
Be  0.0000  0.0000  0.0000 x1  8 Cu 2.50
Cu  0.0000  0.5000  0.2358 x4  4 As 2.50-2.61, 2 Be 2.50, 2 Cu 2.61
Cu  0.5000  0.5000  0.5000 x1  8 Cu 2.61, 4 As 2.81
As  0.0000  0.0000  0.5000 x1  12 Cu 2.61-2.81
As  0.5000  0.5000  0.0000 x1  8 Cu 2.50

---

# 5
Material: CdPAuO
Method: DFT, GGA-PBE
State: optimized geometry

Results
- energy (eV per formula unit) = -14.71

Cell lengths 3.6679, 7.5495, 5.3405 Å; angles 90.00, 90.00, 90.00 degrees
With the nearest neighbours (Å) after each atom.
Space group Pmc2_1 (No. 26)
Symmetry-distinct sites (fractional):
Cd  0.0000  0.1579  0.0000 x2  2 O 2.14-2.30
P  0.5000  0.3882  0.8766 x2  2 Au 2.29-2.41
Au  0.5000  0.3113  0.4383 x2  2 P 2.29-2.41, 2 O 2.33
O  0.0000  0.1206  0.4265 x2  2 Cd 2.14-2.30, 2 Au 2.33

---

# 6
Material: GaCo2Ni
Method: DFT, GGA-PBE
State: optimized geometry

Results
- energy (eV per formula unit) = -23.26

Cell lengths 4.1349, 8.5815, 5.2020 Å; angles 90.00, 90.00, 90.00 degrees
With the nearest neighbours (Å) after each atom.
Space group Ama2 (No. 40)
Symmetry-distinct sites (fractional):
Ga  0.2500  0.1034  0.0000 x4  6 Co 2.44-2.61, 4 Ni 2.45-2.57, 2 Ga 2.73
Co  0.2500  0.0921  0.4979 x4  6 Co 2.45-2.60, 4 Ni 2.49-2.53, 2 Ga 2.59-2.61
Co  0.2500  0.3463  0.7567 x4  4 Ga 2.44-2.58, 4 Co 2.45-2.56, 4 Ni 2.57-2.64
Ni  0.2500  0.3454  0.2506 x4  4 Ga 2.45-2.57, 8 Co 2.49-2.64